1.
CaHg4Ru: relaxed, PBE-GGA.

Unit cell a=5.7667 b=5.7667 c=5.7667 alpha=60.00 beta=60.00 gamma=60.00
With the nearest neighbours (Å) after each atom.
Sites, in units of the cell vectors:
1 Ca 0.0000 0.0000 0.0000  12 Hg 3.38, 4 Ru 3.53
2 Hg 0.1269 0.6244 0.6244  6 Hg 2.87-2.90
3 Hg 0.6244 0.1269 0.6244  6 Hg 2.87-2.90
4 Hg 0.6244 0.6244 0.1269  6 Hg 2.87-2.90
5 Hg 0.6244 0.6244 0.6244  6 Hg 2.87-2.90
6 Ru 0.2500 0.2500 0.2500  12 Hg 3.38, 4 Ca 3.53

## Properties
* calculated volume: 22.6 Å³ per atom
* energy relative to the elements: 1.74 eV per formula unit
* SG: F-43m
* M_tot: 1.342 μB per formula unit
* Fermi-level density of states: 0.991 states/eV/atom

2.
Pr6TlCu3: relaxed, PBE-GGA.

Unit cell a=9.0546 b=9.0546 c=7.0218 alpha=90.00 beta=90.00 gamma=97.03
With the nearest neighbours (Å) after each atom.
Sites, in units of the cell vectors:
1 Pr 0.0228 0.4337 0.7320  2 Cu 3.19-3.30, 1 Tl 3.34, 2 Pr 3.53-3.55
2 Pr 0.0537 0.9463 0.5000  4 Cu 3.00-3.17
3 Pr 0.2264 0.7736 0.9119  3 Cu 2.76-2.89
4 Pr 0.3035 0.3737 0.0619  4 Cu 2.85-3.02
5 Pr 0.3737 0.3035 0.5619  4 Cu 2.85-3.02
6 Pr 0.4337 0.0228 0.2320  2 Cu 3.19-3.30, 1 Tl 3.34, 2 Pr 3.53-3.55
7 Pr 0.5663 0.9772 0.7320  2 Cu 3.19-3.30, 1 Tl 3.34, 2 Pr 3.53-3.55
8 Pr 0.6263 0.6965 0.0619  4 Cu 2.85-3.02
9 Pr 0.6965 0.6263 0.5619  4 Cu 2.85-3.02
10 Pr 0.7736 0.2264 0.4119  3 Cu 2.76-2.89
11 Pr 0.9463 0.0537 0.0000  4 Cu 3.00-3.17
12 Pr 0.9772 0.5663 0.2320  2 Cu 3.19-3.30, 1 Tl 3.34, 2 Pr 3.53-3.55
13 Tl 0.3185 0.6815 0.3960  1 Cu 2.78
14 Tl 0.6815 0.3185 0.8960  1 Cu 2.78
15 Cu 0.0893 0.2556 0.3378  6 Pr 2.85-3.19
16 Cu 0.2556 0.0893 0.8378  6 Pr 2.85-3.19
17 Cu 0.4114 0.5886 0.7487  5 Pr 2.76-3.02, 1 Tl 2.78
18 Cu 0.5886 0.4114 0.2487  5 Pr 2.76-3.02, 1 Tl 2.78
19 Cu 0.7444 0.9107 0.3378  6 Pr 2.85-3.19
20 Cu 0.9107 0.7444 0.8378  6 Pr 2.85-3.19

## Properties
* calculated volume: 28.6 Å³ per atom
* energy relative to the elements: -0.89 eV per formula unit
* SG: Cmc2_1
* M_tot: 0.000 μB per formula unit
* Fermi-level density of states: 1.007 states/eV/atom

3.
DyGa2Fe2P: relaxed, PBE-GGA.

Unit cell a=4.2246 b=4.2246 c=5.4658 alpha=90.00 beta=90.00 gamma=90.00
With the nearest neighbours (Å) after each atom.
Sites, in units of the cell vectors:
1 Dy 0.0000 0.0000 0.0000  2 P 2.73
2 Ga 0.5000 0.5000 0.2322  1 Ga 2.54, 4 Fe 2.57
3 Ga 0.5000 0.5000 0.7678  1 Ga 2.54, 4 Fe 2.57
4 Fe 0.0000 0.5000 0.5000  2 P 2.11
5 Fe 0.5000 0.0000 0.5000  2 P 2.11
6 P 0.0000 0.0000 0.5000  4 Fe 2.11

## Properties
* calculated volume: 16.3 Å³ per atom
* energy relative to the elements: -2.62 eV per formula unit
* SG: P4/mmm
* M_tot: 2.489 μB per formula unit
* Fermi-level density of states: 0.698 states/eV/atom

4.
LaHo2InHg4: relaxed, PBE-GGA.

Unit cell a=9.8910 b=9.8910 c=9.8910 alpha=29.88 beta=29.88 gamma=29.88
With the nearest neighbours (Å) after each atom.
Sites, in units of the cell vectors:
1 La 0.0000 0.0000 0.0000  8 Hg 3.27-3.45
2 Ho 0.2359 0.2359 0.2359  7 Hg 3.02-3.24
3 Ho 0.7641 0.7641 0.7641  7 Hg 3.02-3.24
4 In 0.5000 0.5000 0.5000  8 Hg 3.21-3.29, 6 Ho 3.54
5 Hg 0.1216 0.1216 0.1216  4 Ho 3.02-3.24, 3 In 3.21
6 Hg 0.3839 0.3839 0.3839  3 Ho 3.23, 3 La 3.27, 1 In 3.29, 3 Hg 3.57
7 Hg 0.6161 0.6161 0.6161  3 Ho 3.23, 3 La 3.27, 1 In 3.29, 3 Hg 3.57
8 Hg 0.8784 0.8784 0.8784  4 Ho 3.02-3.24, 3 In 3.21

## Properties
* calculated volume: 26.6 Å³ per atom
* energy relative to the elements: -3.26 eV per formula unit
* SG: R-3m
* M_tot: 0.000 μB per formula unit
* Fermi-level density of states: 0.723 states/eV/atom

5.
Sr2Zn3Cd9: relaxed, PBE-GGA.

Unit cell a=8.5278 b=8.5278 c=11.5373 alpha=111.79 beta=111.79 gamma=59.41
With the nearest neighbours (Å) after each atom.
Sites, in units of the cell vectors:
1 Sr 0.0843 0.2490 0.2463  11 Cd 3.40-3.51, 2 Zn 3.68-3.74
2 Sr 0.2490 0.0843 0.7463  11 Cd 3.40-3.51, 2 Zn 3.68-3.74
3 Sr 0.7510 0.9157 0.2537  11 Cd 3.40-3.51, 2 Zn 3.68-3.74
4 Sr 0.9157 0.7510 0.7537  11 Cd 3.40-3.51, 2 Zn 3.68-3.74
5 Zn 0.0000 0.5000 0.0000  8 Cd 2.89-2.92
6 Zn 0.1362 0.6853 0.5029  8 Cd 2.81-3.09
7 Zn 0.3147 0.8638 0.9971  8 Cd 2.81-3.09
8 Zn 0.5000 0.0000 0.5000  8 Cd 2.89-2.92
9 Zn 0.6853 0.1362 0.0029  8 Cd 2.81-3.09
10 Zn 0.8638 0.3147 0.4971  8 Cd 2.81-3.09
11 Cd 0.0372 0.8466 0.0809  3 Zn 2.83-2.95, 3 Cd 3.00-3.09
12 Cd 0.1534 0.9628 0.4191  3 Zn 2.83-2.95, 3 Cd 3.00-3.09
13 Cd 0.2001 0.3598 0.5725  3 Zn 2.86-2.90, 3 Cd 3.05-3.09
14 Cd 0.2110 0.5759 0.2599  2 Zn 2.81-2.90, 5 Cd 3.00-3.15
15 Cd 0.3156 0.4826 0.9426  3 Zn 2.92-3.09, 5 Cd 3.05-3.19
16 Cd 0.3598 0.2001 0.0725  3 Zn 2.86-2.90, 3 Cd 3.05-3.09
17 Cd 0.3642 0.6358 0.7500  2 Zn 2.83, 4 Cd 3.06-3.15
18 Cd 0.4241 0.7890 0.2401  2 Zn 2.81-2.90, 5 Cd 3.00-3.15
19 Cd 0.4826 0.3156 0.4426  3 Zn 2.92-3.09, 5 Cd 3.05-3.19
20 Cd 0.5174 0.6844 0.5574  3 Zn 2.92-3.09, 5 Cd 3.05-3.19
21 Cd 0.5759 0.2110 0.7599  2 Zn 2.81-2.90, 5 Cd 3.00-3.15
22 Cd 0.6358 0.3642 0.2500  2 Zn 2.83, 4 Cd 3.06-3.15
23 Cd 0.6402 0.7999 0.9275  3 Zn 2.86-2.90, 3 Cd 3.05-3.09
24 Cd 0.6844 0.5174 0.0574  3 Zn 2.92-3.09, 5 Cd 3.05-3.19
25 Cd 0.7890 0.4241 0.7401  2 Zn 2.81-2.90, 5 Cd 3.00-3.15
26 Cd 0.7999 0.6402 0.4275  3 Zn 2.86-2.90, 3 Cd 3.05-3.09
27 Cd 0.8466 0.0372 0.5809  3 Zn 2.83-2.95, 3 Cd 3.00-3.09
28 Cd 0.9628 0.1534 0.9191  3 Zn 2.83-2.95, 3 Cd 3.00-3.09

## Properties
* calculated volume: 23.3 Å³ per atom
* energy relative to the elements: -2.30 eV per formula unit
* SG: C2/c
* M_tot: 0.000 μB per formula unit
* Fermi-level density of states: 0.568 states/eV/atom

Copy entry 3 word for word.
DyGa2Fe2P: relaxed, PBE-GGA.

Unit cell a=4.2246 b=4.2246 c=5.4658 alpha=90.00 beta=90.00 gamma=90.00
With the nearest neighbours (Å) after each atom.
Sites, in units of the cell vectors:
1 Dy 0.0000 0.0000 0.0000  2 P 2.73
2 Ga 0.5000 0.5000 0.2322  1 Ga 2.54, 4 Fe 2.57
3 Ga 0.5000 0.5000 0.7678  1 Ga 2.54, 4 Fe 2.57
4 Fe 0.0000 0.5000 0.5000  2 P 2.11
5 Fe 0.5000 0.0000 0.5000  2 P 2.11
6 P 0.0000 0.0000 0.5000  4 Fe 2.11

## Properties
* calculated volume: 16.3 Å³ per atom
* energy relative to the elements: -2.62 eV per formula unit
* SG: P4/mmm
* M_tot: 2.489 μB per formula unit
* Fermi-level density of states: 0.698 states/eV/atom